# 1
NiIrRu2 after structural relaxation, computed with GGA-PBE.

Results
ΔH_f (0 K): 0.384 eV per atom
D(E_F): 3.671 states/eV/cell
Calculated density: 13.63 g/cm³
Excess energy over the best structure of this formula in the dataset: 33.44 kJ/mol of atoms

Cell: 4.2742 4.2742 4.2742 Å, 60.00 60.00 60.00°
Last column: magnetic moment on the atom in μB.
Fractional coordinates of all 4 atoms:
Ni: 0.7500 0.7500 0.7500  0.32
Ir: 0.5000 0.5000 0.5000  0.24
Ru: 0.0000 0.0000 0.0000  0.42
Ru: 0.2500 0.2500 0.2500  1.18

=====

# 2
Li2DyTm after structural relaxation, computed with GGA-PBE.

Results
ΔH_f (0 K): 0.159 eV per atom
D(E_F): 3.696 states/eV/cell
Calculated density: 5.74 g/cm³
Excess energy over the best structure of this formula in the dataset: 0.13 kJ/mol of atoms

Cell: 5.2075 5.2075 5.2075 Å, 60.00 60.00 60.00°
Fractional coordinates of all 4 atoms:
Dy: 0.0000 0.0000 0.0000
Li: 0.7500 0.7500 0.7500
Tm: 0.5000 0.5000 0.5000
Li: 0.2500 0.2500 0.2500

=====

# 3
VCr2As after structural relaxation, computed with GGA-PBE.

Results
ΔH_f (0 K): 0.564 eV per atom
D(E_F): 10.985 states/eV/cell
Calculated density: 6.65 g/cm³
Excess energy over the best structure of this formula in the dataset: 62.83 kJ/mol of atoms

Cell: 6.7197 6.7197 5.3881 Å, 51.42 51.42 90.00°
Last column: magnetic moment on the atom in μB.
Fractional coordinates of all 8 atoms:
Cr: 0.1322 0.6250 0.2500  1.61
Cr: 0.6178 0.1250 0.2500  1.61
As: 0.0000 0.0000 0.0000  -0.03
Cr: 0.8750 0.8678 0.7500  1.61
As: 0.7500 0.2500 0.5000  -0.03
V: 0.2500 0.7500 0.5000  -0.51
Cr: 0.3750 0.3822 0.7500  1.61
V: 0.5000 0.5000 0.0000  -0.51